(1)
Mg2AlOs | PBE | optimized geometry

abc: 6.3356 6.3356 6.3356
angles: 90.00 90.00 90.00
Atoms (fractional coordinates):
Mg1 0.0000 0.0000 0.0000
Mg2 0.0000 0.5000 0.5000
Mg3 0.2500 0.2500 0.2500
Mg4 0.2500 0.7500 0.7500
Mg5 0.5000 0.0000 0.5000
Mg6 0.5000 0.5000 0.0000
Mg7 0.7500 0.2500 0.7500
Mg8 0.7500 0.7500 0.2500
Al1 0.0000 0.0000 0.5000
Al2 0.0000 0.5000 0.0000
Al3 0.5000 0.0000 0.0000
Al4 0.5000 0.5000 0.5000
Os1 0.2500 0.2500 0.7500
Os2 0.2500 0.7500 0.2500
Os3 0.7500 0.2500 0.2500
Os4 0.7500 0.7500 0.7500

Calculated values
E_tot ... -4.57 eV per atom
Symmetry ... F-43m

---

(2)
Dy2SiNi | PBE | optimized geometry

abc: 4.0457 5.6192 7.4350
angles: 90.00 90.00 90.00
Atoms (fractional coordinates):
Dy1 0.0000 0.1156 0.0000
Dy2 0.0000 0.8844 0.5000
Dy3 0.5000 0.3778 0.3576
Dy4 0.5000 0.6222 0.8576
Si1 0.0000 0.3665 0.6440
Si2 0.0000 0.6335 0.1440
Ni1 0.5000 0.1325 0.7136
Ni2 0.5000 0.8675 0.2136

Calculated values
E_tot ... -5.69 eV per atom
ΔE to the lowest computed polymorph ... 0 meV/atom
Symmetry ... Pmc2_1